Below is Pm4Bi2N after structural relaxation, with properties calculated at the PBE-GGA level.

Cell: 4.862 4.862 16.710 Å, 90.00 90.00 90.00°
Space group I4/mmm (No. 139)
Inequivalent atoms, fractional coordinates:
Pm  0.000  0.000  0.159 [4 per cell]
Pm  0.000  0.500  0.000 [4 per cell]
Bi  0.000  0.000  0.356 [4 per cell]
N  0.000  0.000  0.000 [2 per cell]

Its formation energy without anion corrections is -6.4 eV/f.u. The calculated volume comes out at 395.0 Å³/cell. The value obtained for the polymorph energy (0 for the lowest one) is 0 meV per atom.

---

Below is Pm5Bi5N2 after structural relaxation, with properties calculated at the PBE-GGA level.

Cell: 15.561 3.829 11.576 Å, 90.00 100.84 90.00°
Space group C2/m (No. 12)
Inequivalent atoms, fractional coordinates:
Pm  0.000  0.000  0.000 [2 per cell]
Pm  0.081  0.000  0.317 [4 per cell]
Pm  0.130  0.500  0.794 [4 per cell]
Bi  0.000  0.500  0.500 [2 per cell]
Bi  0.175  0.500  0.110 [4 per cell]
Bi  0.237  0.000  0.615 [4 per cell]
N  0.047  0.000  0.815 [4 per cell]

Its formation energy without anion corrections is -10.2 eV/f.u. The calculated volume comes out at 677.5 Å³/cell.

---

Below is Pm5Bi5N after structural relaxation, with properties calculated at the PBE-GGA level.

Cell: 13.081 6.233 9.496 Å, 90.00 117.31 90.00°
Space group C2/m (No. 12)
Inequivalent atoms, fractional coordinates:
Pm  0.000  0.000  0.000 [2 per cell]
Pm  0.145  0.500  0.892 [4 per cell]
Pm  0.156  0.500  0.275 [4 per cell]
Bi  0.000  0.500  0.500 [2 per cell]
Bi  0.112  0.000  0.768 [4 per cell]
Bi  0.219  0.000  0.338 [4 per cell]
N  0.000  0.500  0.000 [2 per cell]

Its formation energy without anion corrections is -7.3 eV/f.u. The calculated volume comes out at 688.0 Å³/cell.

---

Below is Pm3BiN after structural relaxation, with properties calculated at the PBE-GGA level.

Cell: 16.647 4.148 8.641 Å, 90.00 101.96 90.00°
Space group C2/m (No. 12)
Inequivalent atoms, fractional coordinates:
Pm  0.036  0.000  0.331 [4 per cell]
Pm  0.161  0.000  0.950 [4 per cell]
Pm  0.167  0.500  0.622 [4 per cell]
Bi  0.176  0.500  0.241 [4 per cell]
N  0.092  0.000  0.602 [4 per cell]

Its formation energy without anion corrections is -4.1 eV/f.u. The calculated volume comes out at 583.8 Å³/cell. The value obtained for the polymorph energy (0 for the lowest one) is 94 meV per atom.

---

Below is Pm3BiN after structural relaxation, with properties calculated at the PBE-GGA level.

Cell: 4.997 4.997 4.997 Å, 90.00 90.00 90.00°
Space group Pm-3m (No. 221)
Inequivalent atoms, fractional coordinates:
Pm  0.000  0.000  0.500 [3 per cell]
Bi  0.500  0.500  0.500 [1 per cell]
N  0.000  0.000  0.000 [1 per cell]

Its formation energy without anion corrections is -4.5 eV/f.u. The calculated volume comes out at 124.8 Å³/cell. The value obtained for the polymorph energy (0 for the lowest one) is 0 meV per atom.

---

Below is Pm4Pr2Bi3N2 after structural relaxation, with properties calculated at the PBE-GGA level.

Cell: 4.833 4.833 26.651 Å, 90.00 90.00 90.00°
Space group I4/mmm (No. 139)
Inequivalent atoms, fractional coordinates:
Pm  0.000  0.500  0.083 [8 per cell]
Pr  0.000  0.000  0.192 [4 per cell]
Bi  0.000  0.000  0.321 [4 per cell]
Bi  0.000  0.000  0.500 [2 per cell]
N  0.000  0.000  0.103 [4 per cell]

Its formation energy without anion corrections is -11.3 eV/f.u. The calculated volume comes out at 622.5 Å³/cell.

---

Below is PmPrBiN after structural relaxation, with properties calculated at the PBE-GGA level.

Cell: 4.730 4.730 9.440 Å, 90.00 90.00 90.00°
Space group P4/nmm (No. 129, origin choice 2)
Inequivalent atoms, fractional coordinates:
Pm  0.250  0.750  0.000 [2 per cell]
Pr  0.250  0.250  0.322 [2 per cell]
Bi  0.250  0.250  0.695 [2 per cell]
N  0.250  0.250  0.077 [2 per cell]

Its formation energy without anion corrections is -4.7 eV/f.u. The calculated volume comes out at 211.2 Å³/cell.

---

Below is Pm2PuBi2N2 after structural relaxation, with properties calculated at the PBE-GGA level.

Cell: 4.389 4.389 16.436 Å, 90.00 90.00 90.00°
Space group I4/mmm (No. 139)
Inequivalent atoms, fractional coordinates:
Pm  0.000  0.000  0.102 [4 per cell]
Pu  0.000  0.000  0.500 [2 per cell]
Bi  0.000  0.000  0.304 [4 per cell]
N  0.000  0.500  0.000 [4 per cell]

Its formation energy without anion corrections is -6.1 eV/f.u. The calculated volume comes out at 316.6 Å³/cell.

---

Q: formation energy without anion corrections of number 1 (Pm4Bi2N)?
A: -6.4 eV/f.u.